[1]
Mg5Hg4: optimized geometry, PBE-GGA.

Cell and atoms, written as CIF:
```
data_Mg5Hg4
_cell_length_a 12.2582
_cell_length_b 9.5823
_cell_length_c 3.5429
_cell_angle_alpha 90.00
_cell_angle_beta 106.74
_cell_angle_gamma 90.00
_symmetry_space_group_name_H-M 'C 1 2/m 1'
_symmetry_Int_Tables_number 12
_symmetry_space_group_name_Hall '-C 2y'
loop_
_atom_site_label
_atom_site_type_symbol
_atom_site_fract_x
_atom_site_fract_y
_atom_site_fract_z
_atom_site_occupancy
Mg1 Mg 0.0000 0.0000 0.0000 1
Mg2 Mg 0.0000 0.3436 0.0000 1
Mg3 Mg 0.1958 0.5000 0.6971 1
Hg1 Hg 0.1518 0.1783 0.6506 1
```

Results
Offset from the most stable computed form ... 0.0598 eV/atom
Total magnetization ... 0.00 μB per formula unit
N(E_F) ... 4.5 states/eV per cell
Final energy ... -1.17 eV/atom
E_form ... -0.148 eV/atom

=====

[2]
MgHg2: optimized geometry, PBE-GGA.

Cell and atoms, written as CIF:
```
data_MgHg2
_cell_length_a 6.9251
_cell_length_b 6.9251
_cell_length_c 6.9251
_cell_angle_alpha 90.00
_cell_angle_beta 90.00
_cell_angle_gamma 90.00
_symmetry_space_group_name_H-M 'P a -3'
_symmetry_Int_Tables_number 205
_symmetry_space_group_name_Hall '-P 2ac 2ab 3'
loop_
_atom_site_label
_atom_site_type_symbol
_atom_site_fract_x
_atom_site_fract_y
_atom_site_fract_z
_atom_site_occupancy
Mg1 Mg 0.0000 0.0000 0.0000 1
Hg1 Hg 0.1340 0.6340 0.8660 1
```

Results
Total magnetization ... 0.00 μB per formula unit
N(E_F) ... 4.6 states/eV per cell
Final energy ... -0.73 eV/atom
E_form ... 0.003 eV/atom

=====

[3]
MgHg: optimized geometry, PBE-GGA.

Cell and atoms, written as CIF:
```
data_MgHg
_cell_length_a 10.7106
_cell_length_b 3.5029
_cell_length_c 7.3071
_cell_angle_alpha 90.00
_cell_angle_beta 102.53
_cell_angle_gamma 90.00
_symmetry_space_group_name_H-M 'C 1 m 1'
_symmetry_Int_Tables_number 8
_symmetry_space_group_name_Hall 'C -2y'
loop_
_atom_site_label
_atom_site_type_symbol
_atom_site_fract_x
_atom_site_fract_y
_atom_site_fract_z
_atom_site_occupancy
Mg1 Mg 0.0000 0.0000 0.0000 1
Mg2 Mg 0.0751 0.0000 0.6033 1
Mg3 Mg 0.3474 0.0000 0.2623 1
Hg1 Hg 0.1301 0.5000 0.3150 1
Hg2 Hg 0.2175 0.5000 0.9256 1
Hg3 Hg 0.3651 0.0000 0.6682 1
```

Results
Total magnetization ... 0.00 μB per formula unit
N(E_F) ... 2.7 states/eV per cell
Final energy ... -1.11 eV/atom
E_form ... -0.166 eV/atom

=====

[4]
MgHg3: optimized geometry, PBE-GGA.

Cell and atoms, written as CIF:
```
data_MgHg3
_cell_length_a 9.7165
_cell_length_b 3.4964
_cell_length_c 5.7604
_cell_angle_alpha 90.00
_cell_angle_beta 103.87
_cell_angle_gamma 90.00
_symmetry_space_group_name_H-M 'C 1 2/m 1'
_symmetry_Int_Tables_number 12
_symmetry_space_group_name_Hall '-C 2y'
loop_
_atom_site_label
_atom_site_type_symbol
_atom_site_fract_x
_atom_site_fract_y
_atom_site_fract_z
_atom_site_occupancy
Mg1 Mg 0.0000 0.0000 0.0000 1
Hg1 Hg 0.0000 0.5000 0.5000 1
Hg2 Hg 0.2426 0.5000 0.2340 1
```

Results
Total magnetization ... 0.00 μB per formula unit
N(E_F) ... 2.1 states/eV per cell
Final energy ... -0.70 eV/atom
E_form ... -0.077 eV/atom